(1)
This record from the Alexandria database describes a relaxed Th4CuSeS2 crystal. The functional is PBE.

Summary:
E_form (uncorrected): -1.29 eV/atom
Space group: P2/m, No. 10
Size of the total moment: 0.000 μB per atom

a b c (Å): 4.0563 7.1037 7.3012
angles (deg): 71.09 90.00 90.00
Fractional positions:
Th 0.5000 0.7549 0.2569
Th 0.5000 0.2451 0.7431
Th 0.0000 0.7638 0.7394
Th 0.0000 0.2362 0.2606
S 0.5000 0.0000 0.5000
S 0.0000 0.0000 0.0000
Se 0.5000 0.5000 0.0000
Cu 0.0000 0.5000 0.5000



(2)
This record from the Alexandria database describes a relaxed TaSbRh crystal. The functional is PBE.

Summary:
E_form (uncorrected): -0.13 eV/atom
Space group: P-6m2, No. 187
Size of the total moment: 0.000 μB per atom

a b c (Å): 4.5283 4.5283 2.9985
angles (deg): 90.00 90.00 120.00
Fractional positions:
Sb 0.6667 0.3333 0.1657
Rh 0.0000 0.0000 0.1677
Ta 0.3333 0.6667 0.6666



(3)
This record from the Alexandria database describes a relaxed BaZr2 crystal. The functional is PBE.

Summary:
Calculated formation energy: 12.65 kcal/mol of atoms
Space group: P6_3/mmc, No. 194
Size of the total moment: 0.329 μB per atom

a b c (Å): 6.7500 6.7500 10.2777
angles (deg): 90.00 90.00 120.00
Last column: magnetic moment on the atom in μB.
Fractional positions:
Zr 0.0000 0.0000 0.0000  0.13
Zr 0.1429 0.2857 0.7500  0.34
Zr 0.1429 0.8571 0.7500  0.34
Zr 0.2857 0.1429 0.2500  0.34
Zr 0.7143 0.8571 0.7500  0.34
Zr 0.8571 0.1429 0.2500  0.34
Zr 0.0000 0.0000 0.5000  0.13
Zr 0.8571 0.7143 0.2500  0.34
Ba 0.6667 0.3333 0.9450  0.02
Ba 0.3333 0.6667 0.4450  0.02
Ba 0.3333 0.6667 0.0550  0.02
Ba 0.6667 0.3333 0.5550  0.02



(4)
This record from the Alexandria database describes a relaxed B2PdPt3 crystal. The functional is PBE.

Summary:
Calculated formation energy: -2.40 kcal/mol of atoms
Space group: C2/m, No. 12
Size of the total moment: 0.000 μB per atom

a b c (Å): 4.1099 6.8046 6.4227
angles (deg): 111.18 90.00 107.58
Fractional positions:
Pd 0.8281 0.6562 0.9595
Pd 0.1719 0.3438 0.0405
Pt 0.9513 0.9026 0.6706
Pt 0.0487 0.0974 0.3294
Pt 0.6997 0.3994 0.3630
Pt 0.6021 0.2042 0.7134
Pt 0.3979 0.7958 0.2866
Pt 0.3003 0.6006 0.6370
B 0.4743 0.9485 0.8558
B 0.8478 0.6957 0.3046
B 0.5257 0.0515 0.1442
B 0.1522 0.3043 0.6954